Entry 1:
{
  "formula": "CaBrO2",
  "functional": "GGA-PBE",
  "state": "relaxed",
  "cell": [[4.201, -4.581, 0.000], [4.201, 4.581, 0.000], [-1.904, 0.000, 3.728]],
  "species": ["Ca", "Ca", "Br", "Br", "O", "O", "O", "O"],
  "frac_coords": [[0.249, 0.751, 0.000], [0.751, 0.249, 0.000], [0.176, 0.176, 0.683], [0.786, 0.786, 0.222], [0.114, 0.114, 0.026], [0.382, 0.957, 0.665], [0.407, 0.407, 0.910], [0.957, 0.382, 0.665]],
  "raw_formation_energy_mev_per_atom": -1443
}


Entry 2:
{
  "formula": "BaNiW",
  "functional": "GGA-PBE",
  "state": "relaxed",
  "cell": [[4.076, 0.000, 0.000], [-2.038, 3.530, 0.000], [0.000, 0.000, 5.362]],
  "species": ["Ba", "Ni", "W"],
  "frac_coords": [[0.000, 0.000, 0.000], [0.667, 0.333, 0.500], [0.333, 0.667, 0.500]],
  "formation_enthalpy_0k_ev_per_atom": 0.78
}


Entry 3:
{
  "formula": "MgZr2Ta",
  "functional": "GGA-PBE",
  "state": "relaxed",
  "cell": [[-2.157, 2.157, 4.521], [2.157, -2.157, 4.521], [2.157, 2.157, -4.521]],
  "species": ["Mg", "Zr", "Zr", "Ta"],
  "frac_coords": [[0.000, 0.000, 0.000], [0.500, 0.500, 0.000], [0.750, 0.250, 0.500], [0.250, 0.750, 0.500]],
  "formation_enthalpy_0k_ev_per_atom": 0.15
}


Entry 4:
{
  "formula": "TiRe2SiMo",
  "functional": "GGA-PBE",
  "state": "relaxed",
  "cell": [[4.430, 0.000, 0.000], [0.000, 4.430, 0.000], [0.000, 0.000, 4.426]],
  "species": ["Ti", "Re", "Re", "Si", "Mo"],
  "frac_coords": [[0.000, 0.000, 0.000], [0.000, 0.500, 0.500], [0.500, 0.000, 0.500], [0.500, 0.500, 0.500], [0.500, 0.500, 0.000]],
  "raw_formation_energy_mev_per_atom": 851
}


Number 1: D(E_F) 0.0000 states/eV per atom. Number 2: D(E_F) 0.9198 states/eV per atom. Number 3: D(E_F) 0.8996 states/eV per atom. Number 4: D(E_F) 1.6650 states/eV per atom.